Entry 1:
Material: MgBeRe
Method: DFT, PBE
State: relaxed

The structure in CIF format:
```
data_MgBeRe
_chemical_formula_sum 'Mg1 Be1 Re1'
_space_group_name_H-M_alt 'P 1'
_space_group_IT_number 1
_cell_length_a 5.2071
_cell_length_b 5.2071
_cell_length_c 5.2071
_cell_angle_alpha 149.73
_cell_angle_beta 143.08
_cell_angle_gamma 48.46
loop_
_space_group_symop_operation_xyz
'x,y,z'
loop_
_atom_site_label
_atom_site_type_symbol
_atom_site_fract_x
_atom_site_fract_y
_atom_site_fract_z
Be1 Be 0.0263 0.0263 0.0000
Mg1 Mg 0.3365 0.3365 0.0000
Re1 Re 0.6372 0.6372 0.0000
```

---

Entry 2:
Material: MgBe2Re
Method: DFT, PBE
State: relaxed

The structure in CIF format:
```
data_MgBe2Re
_chemical_formula_sum 'Mg1 Be2 Re1'
_space_group_name_H-M_alt 'P 1'
_space_group_IT_number 1
_cell_length_a 4.7814
_cell_length_b 4.7814
_cell_length_c 4.7814
_cell_angle_alpha 137.80
_cell_angle_beta 137.80
_cell_angle_gamma 61.22
loop_
_space_group_symop_operation_xyz
'x,y,z'
loop_
_atom_site_label
_atom_site_type_symbol
_atom_site_fract_x
_atom_site_fract_y
_atom_site_fract_z
Re1 Re 0.7500 0.2500 0.5000
Be1 Be 0.0000 0.0000 0.0000
Be2 Be 0.2500 0.7500 0.5000
Mg1 Mg 0.5000 0.5000 0.0000
```

---

Entry 3:
Material: MgBe2Re
Method: DFT, PBE
State: relaxed

The structure in CIF format:
```
data_MgBe2Re
_chemical_formula_sum 'Mg1 Be2 Re1'
_space_group_name_H-M_alt 'P 1'
_space_group_IT_number 1
_cell_length_a 4.3361
_cell_length_b 4.3361
_cell_length_c 5.0665
_cell_angle_alpha 83.37
_cell_angle_beta 83.37
_cell_angle_gamma 35.01
loop_
_space_group_symop_operation_xyz
'x,y,z'
loop_
_atom_site_label
_atom_site_type_symbol
_atom_site_fract_x
_atom_site_fract_y
_atom_site_fract_z
Be1 Be 0.4926 0.4926 0.5729
Be2 Be 0.0074 0.0074 0.9271
Re1 Re 0.7500 0.7500 0.7500
Mg1 Mg 0.2500 0.2500 0.2500
```

---

Entry 4:
Material: Mg2BeRe
Method: DFT, PBE
State: relaxed

The structure in CIF format:
```
data_Mg2BeRe
_chemical_formula_sum 'Mg2 Be1 Re1'
_space_group_name_H-M_alt 'P 1'
_space_group_IT_number 1
_cell_length_a 4.2522
_cell_length_b 2.7310
_cell_length_c 5.4871
_cell_angle_alpha 77.54
_cell_angle_beta 90.00
_cell_angle_gamma 90.00
loop_
_space_group_symop_operation_xyz
'x,y,z'
loop_
_atom_site_label
_atom_site_type_symbol
_atom_site_fract_x
_atom_site_fract_y
_atom_site_fract_z
Re1 Re 0.0000 0.5678 0.5305
Mg1 Mg 0.5000 0.2463 0.2781
Mg2 Mg 0.0000 0.9155 0.9880
Be1 Be 0.5000 0.7705 0.7035
```

---

no.,formation enthalpy at 0 K (eV per atom),total moment (μB per formula unit),total energy (eV per atom)
1,0.272,0.00,-5.651
2,0.261,0.25,-5.113
3,0.230,0.00,-5.144
4,0.316,0.00,-4.525